Record 1
First-principles (GGA-PBE) data for a geometry-optimized ZrCrCo2 structure, as listed in Alexandria via LeMat-Bulk.

The relative energy among the computed polymorphs comes out at 0.67 eV per formula unit. The formation energy from the elements comes out at 0.5 eV per formula unit. Its crystal system is tetragonal. The value obtained for the density of states at the Fermi level is 1.286 states/eV per atom. The raw total energy comes out at -7.97 eV/atom. Its space-group type is No. 99.

Geometry as POSCAR:
```
ZrCrCo2
1.0
3.0335 0.0000 0.0000
0.0000 3.0335 0.0000
0.0000 0.0000 6.0304
Zr Cr Co
1 1 2
direct
0.0000 0.0000 0.0000
0.5000 0.5000 0.6829
0.0000 0.0000 0.4995
0.5000 0.5000 0.2780
```

Record 2
First-principles (GGA-PBE) data for a geometry-optimized ZrCrCo3 structure, as listed in Alexandria via LeMat-Bulk.

The relative energy among the computed polymorphs comes out at 0.00 eV per formula unit. The formation energy from the elements comes out at 2.9 eV per formula unit. Its crystal system is cubic. The value obtained for the density of states at the Fermi level is 1.401 states/eV per atom. The raw total energy comes out at -7.32 eV/atom. Its space-group type is No. 221.

Geometry as POSCAR:
```
ZrCrCo3
1.0
4.1940 0.0000 0.0000
0.0000 4.1940 0.0000
0.0000 0.0000 4.1940
Zr Cr Co
1 1 3
direct
0.0000 0.0000 0.0000
0.5000 0.5000 0.5000
0.0000 0.5000 0.5000
0.5000 0.0000 0.5000
0.5000 0.5000 0.0000
```

Record 3
First-principles (GGA-PBE) data for a geometry-optimized ZrCr2Co structure, as listed in Alexandria via LeMat-Bulk.

The formation energy from the elements comes out at 1.6 eV per formula unit. Its crystal system is trigonal. The value obtained for the density of states at the Fermi level is 0.903 states/eV per atom. The raw total energy comes out at -8.32 eV/atom. Its space-group type is No. 160.

Geometry as POSCAR:
```
ZrCr2Co
1.0
2.8688 0.0000 0.0000
-1.4344 2.4844 0.0000
0.0000 0.0000 24.1986
Zr Cr Co
3 6 3
direct
0.0000 0.0000 0.0000
0.3333 0.6667 0.6667
0.6667 0.3333 0.3333
0.0000 0.0000 0.4992
0.0000 0.0000 0.7656
0.3333 0.6667 0.1658
0.3333 0.6667 0.4323
0.6667 0.3333 0.0989
0.6667 0.3333 0.8325
0.0000 0.0000 0.2407
0.3333 0.6667 0.9074
0.6667 0.3333 0.5740
```

Record 4
First-principles (GGA-PBE) data for a geometry-optimized ZrCrCo3 structure, as listed in Alexandria via LeMat-Bulk.

The relative energy among the computed polymorphs comes out at 6.42 eV per formula unit. The formation energy from the elements comes out at 9.3 eV per formula unit. Its crystal system is cubic. The value obtained for the density of states at the Fermi level is 3.206 states/eV per atom. The raw total energy comes out at -6.03 eV/atom. Its space-group type is No. 221.

Geometry as POSCAR:
```
ZrCrCo3
1.0
4.4394 0.0000 0.0000
0.0000 4.4394 0.0000
0.0000 0.0000 4.4394
Zr Cr Co
1 1 3
direct
0.0000 0.0000 0.0000
0.5000 0.5000 0.5000
0.0000 0.0000 0.5000
0.0000 0.5000 0.0000
0.5000 0.0000 0.0000
```